# 1
The following is a GGA-PBE calculation of crystalline Sc8PSe3S3 at its relaxed geometry, from Alexandria.

Computed properties:
calculated density	4.00	g/cm3
energy relative to the elements, uncorrected	-1.61	eV/atom

Unit cell a=7.5589 b=7.5589 c=7.5589 alpha=59.25 beta=59.25 gamma=59.25
Atoms (fractional coordinates):
Sc (0.2400, 0.2400, 0.2400)
Sc (0.2457, 0.7407, 0.7407)
Sc (0.2593, 0.2593, 0.7543)
Sc (0.2593, 0.7543, 0.2593)
Sc (0.7407, 0.2457, 0.7407)
Sc (0.7407, 0.7407, 0.2457)
Sc (0.7543, 0.2593, 0.2593)
Sc (0.7600, 0.7600, 0.7600)
P (0.5000, 0.5000, 0.5000)
Se (0.0000, 0.5000, 0.5000)
Se (0.5000, 0.0000, 0.5000)
Se (0.5000, 0.5000, 0.0000)
S (0.0000, 0.0000, 0.5000)
S (0.0000, 0.5000, 0.0000)
S (0.5000, 0.0000, 0.0000)

=====

# 2
The following is a GGA-PBE calculation of crystalline CaPrYTl at its relaxed geometry, from Alexandria.

Computed properties:
calculated density	6.33	g/cm3
DFT formation energy	-0.100	eV/atom

Unit cell a=5.6033 b=5.6033 c=5.6033 alpha=60.00 beta=60.00 gamma=60.00
Atoms (fractional coordinates):
Ca (0.0000, 0.0000, 0.0000)
Pr (0.7500, 0.7500, 0.7500)
Y (0.2500, 0.2500, 0.2500)
Tl (0.5000, 0.5000, 0.5000)

=====

# 3
The following is a GGA-PBE calculation of crystalline TaW2Cl at its relaxed geometry, from Alexandria.

Computed properties:
calculated density	14.38	g/cm3
energy relative to the elements, uncorrected	1.02	eV/atom
energy relative to the lowest polymorph listed for this composition	75.5	kJ per mole of atoms

Unit cell a=4.5690 b=4.5690 c=4.5690 alpha=60.00 beta=60.00 gamma=60.00
Atoms (fractional coordinates):
Ta (0.0000, 0.0000, 0.0000)
W (0.2500, 0.2500, 0.2500)
W (0.5000, 0.5000, 0.5000)
Cl (0.7500, 0.7500, 0.7500)

=====

# 4
The following is a GGA-PBE calculation of crystalline Bi2HCBr at its relaxed geometry, from Alexandria.

Computed properties:
calculated density	8.69	g/cm3
DFT total energy	-3.5476	eV per atom

Unit cell a=5.5507 b=5.5507 c=3.1668 alpha=90.00 beta=90.00 gamma=90.00
Atoms (fractional coordinates):
Bi (0.0000, 0.5000, 0.0000)
Bi (0.5000, 0.0000, 0.0000)
H (0.0000, 0.0000, 0.5000)
C (0.0000, 0.0000, 0.0000)
Br (0.5000, 0.5000, 0.5000)

=====

# 5
The following is a GGA-PBE calculation of crystalline SrLiTe at its relaxed geometry, from Alexandria.

Computed properties:
calculated density	3.61	g/cm3
energy relative to the elements, uncorrected	-0.83	eV/atom

Unit cell a=5.2494 b=5.2494 c=5.2494 alpha=60.00 beta=60.00 gamma=60.00
Atoms (fractional coordinates):
Sr (0.0000, 0.0000, 0.0000)
Li (0.5000, 0.5000, 0.5000)
Te (0.2500, 0.2500, 0.2500)

=====

# 6
The following is a GGA-PBE calculation of crystalline HoPuSO2 at its relaxed geometry, from Alexandria.

Computed properties:
calculated density	9.21	g/cm3
energy relative to the elements, uncorrected	-2.78	eV/atom

Unit cell a=6.5647 b=6.5647 c=6.5647 alpha=146.62 beta=146.62 gamma=47.93
Atoms (fractional coordinates):
Ho (0.0000, 0.0000, 0.0000)
Pu (0.7044, 0.7044, 0.0000)
S (0.3478, 0.3478, 0.0000)
O (0.0951, 0.5951, 0.5000)
O (0.5951, 0.0951, 0.5000)

=====

# 7
The following is a GGA-PBE calculation of crystalline SbPt3Br at its relaxed geometry, from Alexandria.

Computed properties:
calculated density	11.65	g/cm3
energy relative to the elements, uncorrected	1.01	eV/atom
energy relative to the lowest polymorph listed for this composition	9.5	kJ per mole of atoms

Unit cell a=4.8225 b=4.8225 c=4.8225 alpha=90.00 beta=90.00 gamma=90.00
Atoms (fractional coordinates):
Sb (0.0000, 0.0000, 0.0000)
Pt (0.0000, 0.5000, 0.5000)
Pt (0.5000, 0.0000, 0.5000)
Pt (0.5000, 0.5000, 0.0000)
Br (0.5000, 0.5000, 0.5000)

=====

# 8
The following is a GGA-PBE calculation of crystalline NiPtRh at its relaxed geometry, from Alexandria.

Computed properties:
calculated density	12.67	g/cm3
energy relative to the lowest polymorph listed for this composition	34.1	kJ per mole of atoms
DFT formation energy	0.323	eV/atom

Unit cell a=4.0433 b=4.0433 c=4.0433 alpha=60.00 beta=60.00 gamma=60.00
Atoms (fractional coordinates):
Ni (0.0000, 0.0000, 0.0000)
Pt (0.2500, 0.2500, 0.2500)
Rh (0.7500, 0.7500, 0.7500)

=====

Which of these has the highest calculated density?
TaW2Cl

=====

What is the calculated density in the first record?
4.00 g/cm3

=====

The highest calculated density belongs to which entry?
TaW2Cl